First-principles (PBE with a Hubbard U) data for a geometry-optimized NaZrCr2O8 structure, as listed in Alexandria via LeMat-Bulk.

* total moment: 2.0 μB per cell
* DOS at the Fermi energy: 5.514 states/eV per cell
* calculated total energy: -7.174 eV per atom

Lattice parameters (Å, degrees): 7.021 7.021 6.154 90.00 90.00 90.00
Space group I-4m2 (No. 119)
Asymmetric unit:
Na 0.000 0.000 0.000 (multiplicity 2)
Zr 0.000 0.500 0.750 (multiplicity 2)
Cr 0.000 0.000 0.500 (multiplicity 2)
Cr 0.000 0.500 0.250 (multiplicity 2)
O 0.000 0.204 0.659 (multiplicity 8)
O 0.000 0.320 0.075 (multiplicity 8)